CeErCd6 | PBE-GGA | optimized geometry

Unit cell a=4.9097 b=6.5868 c=6.5868 alpha=114.05 beta=90.00 gamma=90.00
Last column: nearest neighbours and their distance in Å.
Fractional coordinates of all 8 atoms:
Cd (0.0000, 0.6269, 0.9397)  7 Cd 3.03-3.35, 2 Er 3.23, 2 Ce 3.27-3.35
Er (0.5000, 0.3888, 0.6112)  10 Cd 3.20-3.35
Cd (0.0000, 0.0603, 0.3731)  7 Cd 3.03-3.35, 2 Er 3.23, 2 Ce 3.27-3.35
Cd (0.0000, 0.5751, 0.4249)  8 Cd 3.04-3.35, 2 Er 3.20
Ce (0.0000, 0.1120, 0.8880)  12 Cd 3.23-3.61
Cd (0.5000, 0.9214, 0.0786)  8 Cd 3.03-3.31, 2 Ce 3.24
Cd (0.5000, 0.4424, 0.1272)  7 Cd 3.04-3.31, 2 Ce 3.23, 2 Er 3.27-3.35
Cd (0.5000, 0.8728, 0.5576)  7 Cd 3.04-3.31, 2 Ce 3.23, 2 Er 3.27-3.35

Properties
Formation energy from the elements in kJ/mol of atoms: -21
Total magnetization in μB/f.u.: 0.9
Uncorrected energy in eV per atom: -2.2176